First-principles (meta-GGA SCAN) data for a PBEsol-optimized structure of MgCdCu4, as listed in Alexandria via LeMat-Bulk.

- formation energy (eV per atom) = -0.102
- density of states at the Fermi level (states/eV/cell) = 8.479
- magnetic moment (μB/f.u.) = 0.0

Cell: 6.9254 6.9254 6.9254 Å, 90.00 90.00 90.00°
Space group F-43m (No. 216)
Symmetry-distinct sites (fractional):
Mg 0.0000 0.0000 0.0000 x4
Cd 0.2500 0.2500 0.2500 x4
Cu 0.1252 0.1252 0.6252 x16

---

First-principles (meta-GGA SCAN) data for a PBEsol-optimized structure of Mg2CdCu, as listed in Alexandria via LeMat-Bulk.

- formation energy (eV per atom) = -0.069
- density of states at the Fermi level (states/eV/cell) = 3.509
- magnetic moment (μB/f.u.) = 0.0

Cell: 6.5142 6.5142 6.5142 Å, 90.00 90.00 90.00°
Space group F-43m (No. 216)
Symmetry-distinct sites (fractional):
Mg 0.0000 0.0000 0.0000 x4
Mg 0.2500 0.2500 0.2500 x4
Cd 0.2500 0.2500 0.7500 x4
Cu 0.0000 0.0000 0.5000 x4

---

First-principles (meta-GGA SCAN) data for a PBEsol-optimized structure of Mg2CdCu, as listed in Alexandria via LeMat-Bulk.

- formation energy (eV per atom) = -0.118
- density of states at the Fermi level (states/eV/cell) = 2.090
- magnetic moment (μB/f.u.) = 0.0

Cell: 8.0507 4.6114 4.6106 Å, 90.00 124.79 90.00°
Space group C2/m (No. 12)
Symmetry-distinct sites (fractional):
Mg 0.2501 0.0000 0.2498 x4
Cd 0.0000 0.0000 0.5000 x2
Cu 0.0000 0.5000 0.0000 x2

---

First-principles (meta-GGA SCAN) data for a PBEsol-optimized structure of Mg2CdCu, as listed in Alexandria via LeMat-Bulk.

- formation energy (eV per atom) = -0.089
- density of states at the Fermi level (states/eV/cell) = 1.070
- magnetic moment (μB/f.u.) = 0.0

Cell: 3.0683 4.4329 5.5420 Å, 90.00 105.56 90.00°
Space group Pm (No. 6)
Symmetry-distinct sites (fractional):
Mg 0.0000 0.0000 0.0000 x1
Mg 0.3262 0.5000 0.6640 x1
Cd 0.6027 0.5000 0.2075 x1
Cu 0.7385 0.0000 0.4840 x1

---

First-principles (meta-GGA SCAN) data for a PBEsol-optimized structure of Mg2CdCu, as listed in Alexandria via LeMat-Bulk.

- formation energy (eV per atom) = -0.056
- density of states at the Fermi level (states/eV/cell) = 0.863
- magnetic moment (μB/f.u.) = 0.0

Cell: 3.2958 3.2958 6.5996 Å, 90.00 90.00 90.00°
Space group P4mm (No. 99)
Symmetry-distinct sites (fractional):
Mg 0.0000 0.0000 0.0000 x1
Mg 0.5000 0.5000 0.3002 x1
Cd 0.0000 0.0000 0.5675 x1
Cu 0.5000 0.5000 0.7898 x1

---

First-principles (meta-GGA SCAN) data for a PBEsol-optimized structure of Mg2CdCu, as listed in Alexandria via LeMat-Bulk.

- formation energy (eV per atom) = -0.107
- density of states at the Fermi level (states/eV/cell) = 1.760
- magnetic moment (μB/f.u.) = 0.0

Cell: 3.3161 4.6086 9.3002 Å, 90.00 90.00 90.00°
Space group Imm2 (No. 44)
Symmetry-distinct sites (fractional):
Mg 0.0000 0.0000 0.0000 x2
Mg 0.0000 0.5000 0.2189 x2
Cd 0.0000 0.0000 0.4489 x2
Cu 0.0000 0.5000 0.7262 x2

---

First-principles (meta-GGA SCAN) data for a PBEsol-optimized structure of Mg2CdCu, as listed in Alexandria via LeMat-Bulk.

- formation energy (eV per atom) = -0.103
- density of states at the Fermi level (states/eV/cell) = 2.238
- magnetic moment (μB/f.u.) = 0.0

Cell: 6.2607 6.5463 3.4409 Å, 90.00 90.00 90.00°
Space group Cmmm (No. 65)
Symmetry-distinct sites (fractional):
Mg 0.2500 0.2500 0.0000 x4
Cd 0.0000 0.0000 0.5000 x2
Cu 0.0000 0.5000 0.5000 x2

---

First-principles (meta-GGA SCAN) data for a PBEsol-optimized structure of MnCd2Cu, as listed in Alexandria via LeMat-Bulk.

- formation energy (eV per atom) = 0.061
- density of states at the Fermi level (states/eV/cell) = 1.905
- magnetic moment (μB/f.u.) = 3.9
- E above lowest polymorph (meV per atom) = 31.7

Cell: 4.3713 4.3713 3.3735 Å, 90.00 90.00 90.00°
Space group P4/mmm (No. 123)
Symmetry-distinct sites (fractional):
Mn 0.0000 0.0000 0.0000 x1
Cd 0.0000 0.5000 0.5000 x2
Cu 0.5000 0.5000 0.0000 x1

---

First-principles (meta-GGA SCAN) data for a PBEsol-optimized structure of MnCd2Cu, as listed in Alexandria via LeMat-Bulk.

- formation energy (eV per atom) = 0.029
- density of states at the Fermi level (states/eV/cell) = 6.246
- magnetic moment (μB/f.u.) = 4.0
- E above lowest polymorph (meV per atom) = 0.0

Cell: 6.3525 6.3525 6.3525 Å, 90.00 90.00 90.00°
Space group Fm-3m (No. 225)
Symmetry-distinct sites (fractional):
Mn 0.0000 0.0000 0.0000 x4
Cd 0.2500 0.2500 0.2500 x8
Cu 0.0000 0.0000 0.5000 x4

---

First-principles (meta-GGA SCAN) data for a PBEsol-optimized structure of MnCdCu, as listed in Alexandria via LeMat-Bulk.

- formation energy (eV per atom) = 0.185
- density of states at the Fermi level (states/eV/cell) = 8.402
- magnetic moment (μB/f.u.) = 4.2

Cell: 5.9254 5.9254 5.9254 Å, 90.00 90.00 90.00°
Space group F-43m (No. 216)
Symmetry-distinct sites (fractional):
Mn 0.0000 0.0000 0.0000 x4
Cd 0.0000 0.0000 0.5000 x4
Cu 0.2500 0.2500 0.2500 x4

---

First-principles (meta-GGA SCAN) data for a PBEsol-optimized structure of Mn2CdCuOs, as listed in Alexandria via LeMat-Bulk.

- formation energy (eV per atom) = 1.824
- density of states at the Fermi level (states/eV/cell) = 3.192
- magnetic moment (μB/f.u.) = 8.0

Cell: 4.7449 4.7449 4.8743 Å, 90.00 90.00 90.00°
Space group P4/mmm (No. 123)
Symmetry-distinct sites (fractional):
Mn 0.0000 0.5000 0.0000 x2
Cd 0.0000 0.0000 0.0000 x1
Cu 0.5000 0.5000 0.5000 x1
Os 0.0000 0.0000 0.5000 x1

---

First-principles (meta-GGA SCAN) data for a PBEsol-optimized structure of MnCdCu4Sn2Se8, as listed in Alexandria via LeMat-Bulk.

- density of states at the Fermi level (states/eV/cell) = 0.994
- magnetic moment (μB/f.u.) = 5.0
- formation energy (no corrections) (eV/atom) = -0.426

Cell: 12.7231 5.7469 11.4968 Å, 90.00 116.85 90.00°
Space group C2 (No. 5)
Symmetry-distinct sites (fractional):
Mn 0.0000 0.0000 0.0000 x2
Cd 0.0000 0.0018 0.5000 x2
Cu 0.2479 0.5018 0.1208 x4
Cu 0.2485 0.9981 0.3711 x4
Sn 0.0005 0.5010 0.2466 x4
Se 0.1356 0.2399 0.9470 x4
Se 0.1367 0.7579 0.1869 x4
Se 0.1424 0.7478 0.7003 x4
Se 0.1437 0.2567 0.4442 x4

---

First-principles (meta-GGA SCAN) data for a PBEsol-optimized structure of Cd2CuMo, as listed in Alexandria via LeMat-Bulk.

- formation energy (eV per atom) = 0.423
- density of states at the Fermi level (states/eV/cell) = 1.963
- magnetic moment (μB/f.u.) = 0.0
- E above lowest polymorph (meV per atom) = 0.0

Cell: 4.0296 4.0296 4.0173 Å, 90.00 90.00 90.00°
Space group P4/mmm (No. 123)
Symmetry-distinct sites (fractional):
Cd 0.0000 0.5000 0.0000 x2
Cu 0.0000 0.0000 0.5000 x1
Mo 0.5000 0.5000 0.5000 x1

---

First-principles (meta-GGA SCAN) data for a PBEsol-optimized structure of CdCuMo2, as listed in Alexandria via LeMat-Bulk.

- formation energy (eV per atom) = 0.391
- density of states at the Fermi level (states/eV/cell) = 7.663
- magnetic moment (μB/f.u.) = 0.0

Cell: 2.7491 2.7491 28.3059 Å, 90.00 90.00 120.00°
Space group R3m (No. 160, hexagonal axes)
Symmetry-distinct sites (fractional):
Cd 0.0000 0.0000 0.0000 x3
Cu 0.0000 0.0000 0.7479 x3
Mo 0.0000 0.0000 0.2425 x3
Mo 0.0000 0.0000 0.4912 x3

---

First-principles (meta-GGA SCAN) data for a PBEsol-optimized structure of CdCuMo2, as listed in Alexandria via LeMat-Bulk.

- formation energy (eV per atom) = 0.462
- density of states at the Fermi level (states/eV/cell) = 4.289
- magnetic moment (μB/f.u.) = 0.0

Cell: 3.9409 3.9409 7.8320 Å, 90.00 90.00 90.00°
Space group I-4m2 (No. 119)
Symmetry-distinct sites (fractional):
Cd 0.0000 0.0000 0.0000 x2
Cu 0.0000 0.5000 0.2500 x2
Mo 0.0000 0.0000 0.5000 x2
Mo 0.0000 0.5000 0.7500 x2

---

First-principles (meta-GGA SCAN) data for a PBEsol-optimized structure of Cd2CuMo, as listed in Alexandria via LeMat-Bulk.

- formation energy (eV per atom) = 0.554
- density of states at the Fermi level (states/eV/cell) = 5.090
- magnetic moment (μB/f.u.) = 2.4
- E above lowest polymorph (meV per atom) = 131.0

Cell: 6.4436 6.4436 6.4436 Å, 90.00 90.00 90.00°
Space group Fm-3m (No. 225)
Symmetry-distinct sites (fractional):
Cd 0.2500 0.2500 0.2500 x8
Cu 0.0000 0.0000 0.0000 x4
Mo 0.0000 0.0000 0.5000 x4

---

First-principles (meta-GGA SCAN) data for a PBEsol-optimized structure of CdCuMo, as listed in Alexandria via LeMat-Bulk.

- formation energy (eV per atom) = 1.267
- density of states at the Fermi level (states/eV/cell) = 16.319
- magnetic moment (μB/f.u.) = 1.2

Cell: 6.0784 6.0784 6.0784 Å, 90.00 90.00 90.00°
Space group F-43m (No. 216)
Symmetry-distinct sites (fractional):
Cd 0.0000 0.0000 0.0000 x4
Cu 0.0000 0.0000 0.5000 x4
Mo 0.2500 0.2500 0.7500 x4

---

First-principles (meta-GGA SCAN) data for a PBEsol-optimized structure of CdCuMo2, as listed in Alexandria via LeMat-Bulk.

- formation energy (eV per atom) = 0.350
- density of states at the Fermi level (states/eV/cell) = 4.016
- magnetic moment (μB/f.u.) = 0.0

Cell: 3.7036 3.7036 8.8160 Å, 90.00 90.00 90.00°
Space group I4/mmm (No. 139)
Symmetry-distinct sites (fractional):
Cd 0.0000 0.0000 0.0000 x2
Cu 0.0000 0.0000 0.5000 x2
Mo 0.0000 0.5000 0.2500 x4

---

First-principles (meta-GGA SCAN) data for a PBEsol-optimized structure of Cd2CuMoPt, as listed in Alexandria via LeMat-Bulk.

- formation energy (eV per atom) = 0.904
- density of states at the Fermi level (states/eV/cell) = 2.251
- magnetic moment (μB/f.u.) = 3.9

Cell: 4.6272 4.6272 4.6448 Å, 90.00 90.00 90.00°
Space group P4/mmm (No. 123)
Symmetry-distinct sites (fractional):
Cd 0.0000 0.5000 0.0000 x2
Cu 0.0000 0.0000 0.0000 x1
Mo 0.5000 0.5000 0.5000 x1
Pt 0.0000 0.0000 0.5000 x1

---

First-principles (meta-GGA SCAN) data for a PBEsol-optimized structure of Ta2CdCuMo, as listed in Alexandria via LeMat-Bulk.

- formation energy (eV per atom) = 2.175
- density of states at the Fermi level (states/eV/cell) = 4.648
- magnetic moment (μB/f.u.) = 0.0

Cell: 4.8982 4.8982 4.3169 Å, 90.00 90.00 90.00°
Space group P4/mmm (No. 123)
Symmetry-distinct sites (fractional):
Ta 0.0000 0.5000 0.0000 x2
Cd 0.0000 0.0000 0.0000 x1
Cu 0.0000 0.0000 0.5000 x1
Mo 0.5000 0.5000 0.5000 x1

---

First-principles (meta-GGA SCAN) data for a PBEsol-optimized structure of CdCuN3, as listed in Alexandria via LeMat-Bulk.

- density of states at the Fermi level (states/eV/cell) = 2.056
- magnetic moment (μB/f.u.) = 4.7
- formation energy (no corrections) (eV/atom) = 2.549

Cell: 4.1508 4.1508 4.1508 Å, 90.00 90.00 90.00°
Space group Pm-3m (No. 221)
Symmetry-distinct sites (fractional):
Cd 0.0000 0.0000 0.0000 x1
Cu 0.5000 0.5000 0.5000 x1
N 0.0000 0.0000 0.5000 x3

---

First-principles (meta-GGA SCAN) data for a PBEsol-optimized structure of CdCuS2N, as listed in Alexandria via LeMat-Bulk.

- density of states at the Fermi level (states/eV/cell) = 2.670
- magnetic moment (μB/f.u.) = 1.9
- formation energy (no corrections) (eV/atom) = 0.622

Cell: 4.7162 4.7162 3.5787 Å, 90.00 90.00 90.00°
Space group P4/mmm (No. 123)
Symmetry-distinct sites (fractional):
Cd 0.0000 0.0000 0.0000 x1
Cu 0.5000 0.5000 0.5000 x1
S 0.0000 0.5000 0.5000 x2
N 0.5000 0.5000 0.0000 x1

---

First-principles (meta-GGA SCAN) data for a PBEsol-optimized structure of TaCdCu2N, as listed in Alexandria via LeMat-Bulk.

- density of states at the Fermi level (states/eV/cell) = 3.130
- magnetic moment (μB/f.u.) = 1.0
- formation energy (no corrections) (eV/atom) = 1.891

Cell: 4.6279 4.6279 3.8896 Å, 90.00 90.00 90.00°
Space group P4/mmm (No. 123)
Symmetry-distinct sites (fractional):
Ta 0.0000 0.0000 0.0000 x1
Cd 0.5000 0.5000 0.5000 x1
Cu 0.0000 0.5000 0.5000 x2
N 0.5000 0.5000 0.0000 x1

---

First-principles (meta-GGA SCAN) data for a PBEsol-optimized structure of NaCdCu2Re, as listed in Alexandria via LeMat-Bulk.

- formation energy (eV per atom) = 1.527
- density of states at the Fermi level (states/eV/cell) = 4.579
- magnetic moment (μB/f.u.) = 0.9

Cell: 4.6337 4.6337 5.2637 Å, 90.00 90.00 90.00°
Space group P4/mmm (No. 123)
Symmetry-distinct sites (fractional):
Na 0.0000 0.0000 0.0000 x1
Cd 0.5000 0.5000 0.0000 x1
Cu 0.0000 0.5000 0.5000 x2
Re 0.0000 0.0000 0.5000 x1

---

First-principles (meta-GGA SCAN) data for a PBEsol-optimized structure of NaCd2CuW, as listed in Alexandria via LeMat-Bulk.

- formation energy (eV per atom) = 1.762
- density of states at the Fermi level (states/eV/cell) = 3.100
- magnetic moment (μB/f.u.) = 3.8

Cell: 5.3049 5.3049 5.5654 Å, 90.00 90.00 90.00°
Space group P4/mmm (No. 123)
Symmetry-distinct sites (fractional):
Na 0.0000 0.0000 0.0000 x1
Cd 0.0000 0.5000 0.5000 x2
Cu 0.5000 0.5000 0.0000 x1
W 0.0000 0.0000 0.5000 x1

---

First-principles (meta-GGA SCAN) data for a PBEsol-optimized structure of SrNbCdCu2, as listed in Alexandria via LeMat-Bulk.

- formation energy (eV per atom) = 1.796
- density of states at the Fermi level (states/eV/cell) = 2.095
- magnetic moment (μB/f.u.) = 1.1

Cell: 4.7366 4.7366 5.2916 Å, 90.00 90.00 90.00°
Space group P4/mmm (No. 123)
Symmetry-distinct sites (fractional):
Sr 0.0000 0.0000 0.0000 x1
Nb 0.5000 0.5000 0.5000 x1
Cd 0.0000 0.0000 0.5000 x1
Cu 0.0000 0.5000 0.0000 x2

---

First-principles (meta-GGA SCAN) data for a PBEsol-optimized structure of CdCuNi2, as listed in Alexandria via LeMat-Bulk.

- formation energy (eV per atom) = 0.162
- density of states at the Fermi level (states/eV/cell) = 2.726
- magnetic moment (μB/f.u.) = 0.0

Cell: 3.7300 3.7300 3.6206 Å, 90.00 90.00 90.00°
Space group P4/mmm (No. 123)
Symmetry-distinct sites (fractional):
Cd 0.0000 0.0000 0.0000 x1
Cu 0.5000 0.5000 0.0000 x1
Ni 0.0000 0.5000 0.5000 x2

---

First-principles (meta-GGA SCAN) data for a PBEsol-optimized structure of CdCu2Ni, as listed in Alexandria via LeMat-Bulk.

- formation energy (eV per atom) = 0.109
- density of states at the Fermi level (states/eV/cell) = 2.880
- magnetic moment (μB/f.u.) = 0.0

Cell: 3.7531 3.7531 7.3330 Å, 90.00 90.00 90.00°
Space group I-4m2 (No. 119)
Symmetry-distinct sites (fractional):
Cd 0.0000 0.0000 0.0000 x2
Cu 0.0000 0.0000 0.5000 x2
Cu 0.0000 0.5000 0.2500 x2
Ni 0.0000 0.5000 0.7500 x2

---

First-principles (meta-GGA SCAN) data for a PBEsol-optimized structure of CdCuNi4, as listed in Alexandria via LeMat-Bulk.

- formation energy (eV per atom) = 0.155
- density of states at the Fermi level (states/eV/cell) = 19.153
- magnetic moment (μB/f.u.) = 0.0

Cell: 6.6183 6.6183 6.6183 Å, 90.00 90.00 90.00°
Space group F-43m (No. 216)
Symmetry-distinct sites (fractional):
Cd 0.0000 0.0000 0.0000 x4
Cu 0.2500 0.2500 0.7500 x4
Ni 0.1245 0.1245 0.3755 x16

---

It is found that the V values, taken in the order of the records, are 13.84, 17.28, 17.57, 18.15, 17.92, 17.77, 17.63, 16.12, 16.02, 17.34, 21.95, 23.44, 16.31, 15.44, 15.20, 16.72, 18.72, 15.12, 19.89, 20.71, 14.30, 15.92, 16.66, 22.60, 31.32, 23.74, 12.59, 12.91, 12.08 Å³/atom.